This record from the Alexandria database describes crystalline LaScSi2Rh at its relaxed geometry. The functional is GGA-PBE.

Summary:
Raw formation energy: -917 meV/atom
VASP energy: -6.81 eV/atom

extended XYZ file:
```
5
Lattice="-2.098 2.098 5.571 2.098 -2.098 5.571 2.098 2.098 -5.571" Properties=species:S:1:pos:R:3 pbc="T T T"
La 0.000 0.000 0.000
Sc 2.098 0.000 2.786
Si 0.000 0.000 4.361
Si 0.000 0.000 6.782
Rh 0.000 2.098 2.786
```